Ba2HfVHg: relaxed, GGA-PBE.

Structure (POSCAR):
```
Ba2HfVHg
1.0
-1.9001 -5.7620 0.3706
4.6012 -1.5200 -0.0421
0.1663 0.3354 6.0670
V Hf Hg Ba
1 1 1 2
direct
0.0000 0.0000 0.0000
0.0000 0.5000 0.0000
0.5000 0.5000 0.5000
0.0000 0.0000 0.5000
0.5000 0.0000 0.0000
```

Values from the calculation:
**Formation energy from the elements**: 65.99 kJ per mole of atoms
**DOS at the Fermi energy**: 0.8029 states/eV/atom
**SG**: No. 123